Material: ScCr2RuF
Method: DFT, PBE with a Hubbard U
State: relaxed

Properties
uncorrected energy: -27.0 eV for the cell shown
theoretical density: 3.37 g/cm3

Cell lengths 5.4774, 4.4167, 5.4774 Å; angles 90.00, 90.00, 90.00 degrees
Closest atoms and distances in Å follow each position.
Fractional positions:
Sc 0.0000 0.0000 0.0000  2 Ru 2.21
Cr 0.5000 0.0000 0.0000  2 Sc 2.74
Ru 0.0000 0.5000 0.0000  2 Sc 2.21
F 0.5000 0.5000 0.5000  8 Cr 3.52, 4 Ru 3.87
Cr 0.0000 0.0000 0.5000  2 Sc 2.74